# Pa2VPbO8 | Alexandria | GGA+U | optimized geometry
data_Pa2VPbO8
_cell_length_a 5.029
_cell_length_b 5.032
_cell_length_c 7.101
_cell_angle_alpha 90.23
_cell_angle_beta 90.24
_cell_angle_gamma 92.02
_symmetry_space_group_name_H-M 'P -1'
_symmetry_Int_Tables_number 2
loop_
_symmetry_equiv_pos_as_xyz
'x,y,z'
'-x,-y,-z'
loop_
_atom_site_label
_atom_site_type_symbol
_atom_site_fract_x
_atom_site_fract_y
_atom_site_fract_z
Pa1 Pa 0.001 0.001 0.242
V1 V 0.500 0.500 0.000
Pb1 Pb 0.500 0.500 0.500
O1 O 0.172 0.831 0.500
O2 O 0.198 0.803 0.000
O3 O 0.300 0.301 0.205
O4 O 0.312 0.313 0.807
# - electronic total energy (eV per atom) = -8.51
# - M_tot (μB per atom) = 0.084
# - crystal system = triclinic